No. 1
{"formula": "FeNi2Pt9", "functional": "GGA-PBE", "state": "optimized geometry", "cell": [[-3.415, -1.260, -1.384], [-0.704, -1.805, 3.378], [-5.199, 9.634, 4.062]], "species": ["Pt", "Pt", "Pt", "Ni", "Pt", "Pt", "Ni", "Pt", "Pt", "Fe", "Pt", "Pt"], "frac_coords": [[0.500, 0.500, 0.667], [0.500, 0.000, 0.167], [0.000, 0.500, 0.833], [0.000, 0.000, 0.664], [0.500, 0.500, 0.000], [0.000, 0.500, 0.500], [0.000, 0.000, 0.336], [0.500, 0.500, 0.333], [0.500, 0.000, 0.500], [0.000, 0.000, 0.000], [0.000, 0.500, 0.167], [0.500, 0.000, 0.833]], "total_magnetization_mub_per_cell": 6.59, "sg": "P4/mmm (123)", "e_tot_ev_per_atom": -6.32, "formation_energy_ev_per_atom": -0.121}

***

No. 2
{"formula": "Fe2Ni3Pt3", "functional": "GGA-PBE", "state": "optimized geometry", "cell": [[-0.360, -3.662, 0.336], [3.169, -0.496, -2.011], [4.058, 0.182, 6.352]], "species": ["Fe", "Ni", "Fe", "Pt", "Pt", "Ni", "Ni", "Pt"], "frac_coords": [[0.000, 0.000, 0.260], [0.000, 0.500, 0.000], [0.000, 0.000, 0.740], [0.500, 0.500, 0.740], [0.500, 0.000, 0.000], [0.500, 0.000, 0.500], [0.000, 0.500, 0.500], [0.500, 0.500, 0.260]], "total_magnetization_mub_per_cell": 9.82, "sg": "Pmmm (47)", "e_tot_ev_per_atom": -6.74, "formation_energy_ev_per_atom": -0.194}

***

No. 3
{"formula": "FeNi4Pt", "functional": "GGA-PBE", "state": "optimized geometry", "cell": [[4.060, 0.000, 0.000], [-2.030, 4.136, 1.313], [0.000, 0.196, 8.678]], "species": ["Ni", "Pt", "Ni", "Pt", "Ni", "Ni", "Ni", "Fe", "Ni", "Fe", "Ni", "Ni"], "frac_coords": [[0.291, 0.082, 0.544], [0.500, 0.500, 0.000], [0.959, 0.418, 0.207], [0.000, 0.500, 0.500], [0.459, 0.418, 0.707], [0.791, 0.082, 0.044], [0.709, 0.918, 0.456], [0.750, 0.000, 0.750], [0.209, 0.918, 0.956], [0.250, 0.000, 0.250], [0.541, 0.582, 0.293], [0.041, 0.582, 0.793]], "total_magnetization_mub_per_cell": 11.64, "sg": "C2/m (12)", "e_tot_ev_per_atom": -6.30, "e_above_lowest_polymorph_mev_per_atom": 76, "formation_energy_ev_per_atom": -0.025}

***

No. 4
{"formula": "Fe2Ni7Pt", "functional": "GGA-PBE", "state": "optimized geometry", "cell": [[3.748, 0.000, 0.000], [0.000, 6.951, -0.588], [0.000, -3.661, 5.938]], "species": ["Ni", "Fe", "Ni", "Ni", "Fe", "Ni", "Pt", "Ni", "Ni", "Ni"], "frac_coords": [[0.500, 0.707, 0.917], [0.500, 0.701, 0.299], [0.500, 0.083, 0.293], [0.500, 0.500, 0.500], [0.500, 0.299, 0.701], [0.500, 0.293, 0.083], [0.000, 0.000, 0.000], [0.000, 0.198, 0.802], [0.500, 0.917, 0.707], [0.000, 0.802, 0.198]], "total_magnetization_mub_per_cell": 10.96, "sg": "Cmmm (65)", "e_tot_ev_per_atom": -5.78, "formation_energy_ev_per_atom": 0.566}

***

No. 5
{"formula": "FeNiPt", "functional": "GGA-PBE", "state": "optimized geometry", "cell": [[4.134, 0.000, 0.000], [-2.067, 3.580, 0.000], [0.000, 0.000, 2.658]], "species": ["Pt", "Ni", "Fe"], "frac_coords": [[0.333, 0.667, 0.667], [0.667, 0.333, 0.174], [0.000, 0.000, 0.159]], "total_magnetization_mub_per_cell": 4.04, "sg": "P3m1 (156)", "e_tot_ev_per_atom": -6.88, "e_above_lowest_polymorph_mev_per_atom": 56, "formation_energy_ev_per_atom": -0.122}

***

No. 6
{"formula": "Fe4NiPt", "functional": "GGA-PBE", "state": "optimized geometry", "cell": [[-1.438, -0.259, 2.277], [-1.721, -10.307, -2.261], [5.390, 4.950, 3.967]], "species": ["Ni", "Pt", "Fe", "Fe", "Fe", "Ni", "Fe", "Fe", "Pt", "Fe", "Fe", "Fe"], "frac_coords": [[0.500, 0.250, 0.750], [0.000, 0.000, 0.000], [0.500, 0.250, 0.432], [0.500, 0.250, 0.068], [0.000, 0.000, 0.342], [0.500, 0.750, 0.250], [0.000, 0.000, 0.658], [0.500, 0.750, 0.568], [0.000, 0.500, 0.500], [0.000, 0.500, 0.842], [0.000, 0.500, 0.158], [0.500, 0.750, 0.932]], "total_magnetization_mub_per_cell": 24.47, "sg": "Pmmm (47)", "e_tot_ev_per_atom": -7.65, "e_above_lowest_polymorph_mev_per_atom": 0, "formation_energy_ev_per_atom": -0.036}

***

No. 7
{"formula": "Fe4Ni2Pt3", "functional": "GGA-PBE", "state": "optimized geometry", "cell": [[6.722, -0.139, 0.000], [-2.566, 5.881, 0.000], [0.000, 0.000, 6.248]], "species": ["Fe", "Pt", "Fe", "Fe", "Fe", "Pt", "Fe", "Pt", "Pt", "Ni", "Fe", "Ni", "Pt", "Ni", "Ni", "Fe", "Fe", "Pt"], "frac_coords": [[0.301, 0.040, 0.016], [0.578, 0.216, 0.706], [0.180, 0.621, 0.969], [0.320, 0.379, 0.469], [0.680, 0.621, 0.531], [0.422, 0.784, 0.294], [0.199, 0.960, 0.516], [0.500, 0.500, 0.000], [0.000, 0.500, 0.500], [0.932, 0.772, 0.804], [0.801, 0.040, 0.484], [0.432, 0.772, 0.696], [0.922, 0.783, 0.206], [0.068, 0.228, 0.196], [0.568, 0.228, 0.304], [0.820, 0.379, 0.031], [0.699, 0.960, 0.984], [0.078, 0.217, 0.794]], "total_magnetization_mub_per_cell": 28.13, "sg": "P2_1/c (14)", "e_tot_ev_per_atom": -7.03, "formation_energy_ev_per_atom": 0.027}

***

No. 8
{"formula": "Fe2NiPt", "functional": "GGA-PBE", "state": "optimized geometry", "cell": [[-2.165, -1.046, -1.545], [1.655, 0.015, -2.330], [1.884, -5.825, 1.302]], "species": ["Ni", "Fe", "Fe", "Pt"], "frac_coords": [[0.000, 0.000, 0.469], [0.500, 0.500, 0.259], [0.000, 0.000, 0.020], [0.500, 0.500, 0.752]], "total_magnetization_mub_per_cell": 6.67, "sg": "P4mm (99)", "e_tot_ev_per_atom": -7.26, "formation_energy_ev_per_atom": -0.078}

***

No. 9
{"formula": "Fe3Ni2Pt2", "functional": "GGA-PBE", "state": "optimized geometry", "cell": [[-2.699, 1.599, -3.325], [1.750, -3.090, -0.891], [-4.115, -3.167, 2.898]], "species": ["Ni", "Fe", "Pt", "Fe", "Ni", "Pt", "Fe"], "frac_coords": [[0.708, 0.854, 0.574], [0.577, 0.289, 0.847], [0.850, 0.425, 0.279], [0.423, 0.711, 0.153], [0.292, 0.146, 0.426], [0.150, 0.575, 0.721], [0.000, 0.000, 0.000]], "total_magnetization_mub_per_cell": 10.46, "sg": "C2/m (12)", "e_tot_ev_per_atom": -7.14, "formation_energy_ev_per_atom": -0.137}

***

No. 10
{"formula": "FeNiPt", "functional": "GGA-PBE", "state": "optimized geometry", "cell": [[-3.765, 0.099, 0.679], [0.207, -3.411, 1.645], [1.843, 4.712, 9.535]], "species": ["Fe", "Ni", "Fe", "Fe", "Ni", "Ni", "Pt", "Ni", "Pt", "Pt", "Fe", "Pt"], "frac_coords": [[0.250, 0.000, 0.079], [0.250, 0.000, 0.425], [0.250, 0.500, 0.579], [0.750, 0.000, 0.921], [0.250, 0.500, 0.925], [0.750, 0.500, 0.075], [0.750, 0.000, 0.251], [0.750, 0.000, 0.575], [0.250, 0.500, 0.249], [0.250, 0.000, 0.749], [0.750, 0.500, 0.421], [0.750, 0.500, 0.751]], "total_magnetization_mub_per_cell": 15.89, "sg": "Cmcm (63)", "e_tot_ev_per_atom": -6.90, "e_above_lowest_polymorph_mev_per_atom": 36, "formation_energy_ev_per_atom": -0.142}

***

No. 11
{"formula": "Fe2NiPt", "functional": "GGA-PBE", "state": "optimized geometry", "cell": [[3.658, 0.000, 0.000], [0.000, 2.663, 0.008], [0.000, 2.659, 5.255]], "species": ["Fe", "Ni", "Pt", "Fe"], "frac_coords": [[0.000, 0.984, 0.016], [0.500, 0.250, 0.250], [0.500, 0.750, 0.750], [0.000, 0.516, 0.484]], "total_magnetization_mub_per_cell": 6.59, "sg": "P2/m (10)", "e_tot_ev_per_atom": -7.34, "formation_energy_ev_per_atom": -0.149}

***

No. 12
{"formula": "Fe2NiPt", "functional": "GGA-PBE", "state": "optimized geometry", "cell": [[4.549, -0.005, 0.006], [1.543, 4.279, -0.006], [-3.050, -2.132, 2.617]], "species": ["Fe", "Ni", "Pt", "Fe"], "frac_coords": [[0.000, 0.000, 0.000], [0.750, 0.250, 0.500], [0.250, 0.750, 0.500], [0.500, 0.500, 0.000]], "total_magnetization_mub_per_cell": 6.59, "sg": "I4/mmm (139)", "e_tot_ev_per_atom": -7.36, "formation_energy_ev_per_atom": -0.172}

***

No. 13
{"formula": "FeNi7Pt2", "functional": "GGA-PBE", "state": "optimized geometry", "cell": [[4.027, 1.102, 0.763], [1.206, 5.808, -2.963], [1.206, -0.729, 6.479]], "species": ["Ni", "Ni", "Ni", "Ni", "Ni", "Ni", "Pt", "Pt", "Ni", "Fe"], "frac_coords": [[0.500, 0.500, 0.500], [0.000, 0.384, 0.616], [0.746, 0.068, 0.441], [0.254, 0.559, 0.932], [0.746, 0.441, 0.068], [0.254, 0.932, 0.559], [0.500, 0.120, 0.880], [0.500, 0.880, 0.120], [0.000, 0.616, 0.384], [0.000, 0.000, 0.000]], "total_magnetization_mub_per_cell": 8.35, "sg": "Immm (71)", "e_tot_ev_per_atom": -6.08, "formation_energy_ev_per_atom": 0.023}

***

No. 14
{"formula": "FeNi2Pt", "functional": "GGA-PBE", "state": "optimized geometry", "cell": [[4.152, 0.000, 0.000], [2.076, 3.596, 0.000], [2.076, 1.199, 3.390]], "species": ["Pt", "Ni", "Ni", "Fe"], "frac_coords": [[0.750, 0.750, 0.750], [0.250, 0.250, 0.250], [0.000, 0.000, 0.000], [0.500, 0.500, 0.500]], "total_magnetization_mub_per_cell": 4.40, "sg": "F-43m (216)", "e_tot_ev_per_atom": -6.55, "formation_energy_ev_per_atom": -0.038}

***

No. 15
{"formula": "Fe7Ni2Pt2", "functional": "GGA-PBE", "state": "optimized geometry", "cell": [[6.285, -2.132, -2.148], [-2.728, 5.895, 2.425], [-2.868, 2.132, 5.991]], "species": ["Fe", "Ni", "Fe", "Fe", "Fe", "Pt", "Fe", "Pt", "Ni", "Fe", "Fe"], "frac_coords": [[0.991, 0.334, 0.490], [0.745, 0.500, 0.745], [0.506, 0.183, 0.494], [0.000, 0.000, 0.000], [0.490, 0.666, 0.991], [0.770, 0.013, 0.230], [0.510, 0.334, 0.009], [0.230, 0.987, 0.770], [0.255, 0.500, 0.255], [0.494, 0.817, 0.506], [0.009, 0.666, 0.510]], "total_magnetization_mub_per_cell": 20.65, "sg": "C2/m (12)", "e_tot_ev_per_atom": -7.39, "formation_energy_ev_per_atom": 0.149}

***

No. 16
{"formula": "Fe4Ni5Pt2", "functional": "GGA-PBE", "state": "optimized geometry", "cell": [[4.115, 0.000, -1.006], [-0.457, 4.190, -1.870], [-0.160, -0.734, 8.267]], "species": ["Fe", "Fe", "Pt", "Fe", "Ni", "Ni", "Fe", "Ni", "Ni", "Ni", "Pt"], "frac_coords": [[0.309, 0.696, 0.617], [0.691, 0.304, 0.383], [0.399, 0.343, 0.798], [0.041, 0.802, 0.082], [0.500, 0.000, 0.000], [0.213, 0.038, 0.426], [0.959, 0.198, 0.918], [0.132, 0.397, 0.265], [0.787, 0.962, 0.574], [0.868, 0.603, 0.735], [0.601, 0.657, 0.202]], "total_magnetization_mub_per_cell": 15.15, "sg": "C2/m (12)", "e_tot_ev_per_atom": -6.86, "formation_energy_ev_per_atom": -0.056}

***

No. 17
{"formula": "FeNiPt", "functional": "GGA-PBE", "state": "optimized geometry", "cell": [[-0.656, 1.783, 3.867], [3.856, -1.930, 1.544], [4.094, 6.380, -2.247]], "species": ["Fe", "Ni", "Fe", "Pt", "Pt", "Pt", "Fe", "Ni", "Ni", "Fe", "Ni", "Pt"], "frac_coords": [[0.250, 0.824, 0.862], [0.250, 0.333, 0.701], [0.750, 0.176, 0.862], [0.250, 0.819, 0.534], [0.750, 0.681, 0.034], [0.250, 0.319, 0.034], [0.750, 0.676, 0.362], [0.250, 0.833, 0.201], [0.750, 0.167, 0.201], [0.250, 0.324, 0.362], [0.750, 0.667, 0.701], [0.750, 0.181, 0.534]], "total_magnetization_mub_per_cell": 15.02, "sg": "Ama2 (40)", "e_tot_ev_per_atom": -6.91, "e_above_lowest_polymorph_mev_per_atom": 29, "formation_energy_ev_per_atom": -0.149}

***

No. 18
{"formula": "FeNi2Pt3", "functional": "GGA-PBE", "state": "optimized geometry", "cell": [[-2.694, -2.351, 1.481], [1.268, -0.921, 5.899], [-4.095, 5.818, 1.788]], "species": ["Pt", "Ni", "Ni", "Pt", "Fe", "Ni", "Pt", "Ni", "Pt", "Pt", "Pt", "Fe"], "frac_coords": [[0.500, 0.000, 0.255], [0.671, 0.658, 0.500], [0.000, 0.000, 0.500], [0.167, 0.666, 0.247], [0.660, 0.680, 0.000], [0.000, 0.000, 0.000], [0.500, 0.000, 0.745], [0.329, 0.342, 0.500], [0.833, 0.334, 0.753], [0.167, 0.666, 0.753], [0.833, 0.334, 0.247], [0.340, 0.320, 0.000]], "total_magnetization_mub_per_cell": 11.40, "sg": "Cmmm (65)", "e_tot_ev_per_atom": -6.53, "e_above_lowest_polymorph_mev_per_atom": 0, "formation_energy_ev_per_atom": -0.169}

***

No. 19
{"formula": "Fe5Ni12Pt2", "functional": "GGA-PBE", "state": "optimized geometry", "cell": [[6.483, 0.047, 1.466], [1.328, 5.789, 1.259], [0.308, -0.967, 5.986]], "species": ["Fe", "Ni", "Ni", "Fe", "Ni", "Pt", "Fe", "Ni", "Ni", "Ni", "Fe", "Pt", "Ni", "Ni", "Ni", "Ni", "Fe", "Ni", "Ni"], "frac_coords": [[0.500, 0.000, 0.000], [0.402, 0.149, 0.659], [0.312, 0.575, 0.575], [0.944, 0.782, 0.782], [0.788, 0.543, 0.045], [0.000, 0.327, 0.673], [0.596, 0.716, 0.716], [0.212, 0.955, 0.457], [0.806, 0.090, 0.090], [0.212, 0.457, 0.955], [0.056, 0.218, 0.218], [0.000, 0.673, 0.327], [0.788, 0.045, 0.543], [0.194, 0.910, 0.910], [0.688, 0.425, 0.425], [0.598, 0.341, 0.851], [0.404, 0.284, 0.284], [0.598, 0.851, 0.341], [0.402, 0.659, 0.149]], "total_magnetization_mub_per_cell": 22.46, "sg": "C2/m (12)", "e_tot_ev_per_atom": -6.46, "formation_energy_ev_per_atom": 0.059}

***

No. 20
{"formula": "Fe3Ni3Pt", "functional": "GGA-PBE", "state": "optimized geometry", "cell": [[4.030, 0.000, 0.000], [0.000, 8.978, 0.000], [0.000, 0.000, 9.933]], "species": ["Ni", "Ni", "Fe", "Ni", "Ni", "Fe", "Pt", "Ni", "Ni", "Fe", "Fe", "Fe", "Fe", "Fe", "Pt", "Pt", "Ni", "Fe", "Ni", "Fe", "Ni", "Fe", "Ni", "Fe", "Ni", "Pt", "Ni", "Fe"], "frac_coords": [[0.250, 0.842, 0.048], [0.750, 0.426, 0.835], [0.250, 0.797, 0.631], [0.750, 0.658, 0.548], [0.250, 0.074, 0.335], [0.250, 0.125, 0.077], [0.250, 0.015, 0.822], [0.250, 0.823, 0.284], [0.250, 0.574, 0.165], [0.250, 0.103, 0.574], [0.750, 0.203, 0.369], [0.250, 0.297, 0.869], [0.750, 0.897, 0.426], [0.750, 0.875, 0.923], [0.750, 0.985, 0.178], [0.750, 0.485, 0.322], [0.750, 0.677, 0.784], [0.250, 0.603, 0.926], [0.250, 0.342, 0.452], [0.750, 0.397, 0.074], [0.250, 0.323, 0.216], [0.250, 0.625, 0.423], [0.750, 0.158, 0.952], [0.750, 0.375, 0.577], [0.750, 0.177, 0.716], [0.250, 0.515, 0.678], [0.750, 0.926, 0.665], [0.750, 0.703, 0.131]], "total_magnetization_mub_per_cell": 44.88, "sg": "Pnma (62)", "e_tot_ev_per_atom": -6.89, "formation_energy_ev_per_atom": 0.074}